## Ti4V2O9 (PBE+U)

Data for crystalline Ti4V2O9 at its relaxed geometry.

Values from the calculation:
Total DFT energy (no corrections) = -8.72 eV/atom
Space-group type = No. 165

Geometry as POSCAR:
```
Ti4V2O9
1.0
5.131 0.000 0.000
-2.566 4.444 0.000
0.000 0.000 14.185
Ti V O
8 4 18
Cartesian
0.000 2.962 2.594
0.000 2.962 6.836
0.000 2.962 9.686
0.000 2.962 13.928
2.566 1.481 0.257
2.566 1.481 4.499
2.566 1.481 7.349
2.566 1.481 11.592
0.000 0.000 2.127
0.000 0.000 4.966
0.000 0.000 9.219
0.000 0.000 12.058
-0.830 1.438 3.546
-1.735 3.005 10.639
-0.845 1.666 8.246
-1.546 2.879 1.153
1.661 0.000 3.546
0.830 1.438 10.639
0.845 1.666 1.153
-0.700 4.343 8.246
1.865 0.101 13.032
1.020 1.565 5.940
1.546 2.879 8.246
0.700 4.343 1.153
3.266 0.101 5.940
1.721 2.778 13.032
3.470 0.000 10.639
1.735 3.005 3.546
4.111 1.565 13.032
3.411 2.778 5.940
```